Record 1
Below is a relaxed Sc6Si2N crystal, with properties calculated at the PBE level.

```
Sc6Si2N
1.0
5.852 0.000 0.000
0.000 5.852 0.000
0.000 0.000 11.335
Sc Si N
12 4 2
direct
0.190 0.190 0.139 Sc
0.190 0.190 0.861 Sc
0.217 0.217 0.500 Sc
0.283 0.717 0.000 Sc
0.310 0.690 0.361 Sc
0.310 0.690 0.639 Sc
0.690 0.310 0.361 Sc
0.690 0.310 0.639 Sc
0.717 0.283 0.000 Sc
0.783 0.783 0.500 Sc
0.810 0.810 0.139 Sc
0.810 0.810 0.861 Sc
0.000 0.000 0.326 Si
0.000 0.000 0.674 Si
0.500 0.500 0.174 Si
0.500 0.500 0.826 Si
0.000 0.000 0.000 N
0.500 0.500 0.500 N
```

**DFT total energy**: -124.5 eV for the cell shown
**Magnetization**: 0.01 μB per cell


Record 2
Below is a relaxed ScSiN crystal, with properties calculated at the PBE level.

```
ScSiN
1.0
2.356 -2.352 0.000
2.356 2.352 0.000
-0.023 0.000 6.712
Sc Si N
2 2 2
direct
0.249 0.249 0.340 Sc
0.751 0.751 0.660 Sc
0.250 0.250 0.935 Si
0.750 0.750 0.065 Si
0.252 0.252 0.666 N
0.748 0.748 0.334 N
```

**DFT total energy**: -46.2 eV for the cell shown
**Magnetization**: 0.00 μB per cell


Record 3
Below is a relaxed ScSiN3 crystal, with properties calculated at the PBE level.

```
ScSiN3
1.0
3.591 0.000 0.000
0.000 3.591 0.000
0.000 0.000 3.591
Sc Si N
1 1 3
direct
0.000 0.000 0.000 Sc
0.500 0.500 0.500 Si
0.000 0.500 0.500 N
0.500 0.000 0.500 N
0.500 0.500 0.000 N
```

**DFT total energy**: -38.7 eV for the cell shown
**Magnetization**: 0.00 μB per cell


Record 4
Below is a relaxed ScSiN3 crystal, with properties calculated at the PBE level.

```
ScSiN3
1.0
4.114 0.000 0.000
0.000 4.114 0.000
0.000 0.000 4.114
Sc Si N
1 1 3
direct
0.000 0.000 0.000 Sc
0.500 0.500 0.500 Si
0.000 0.000 0.500 N
0.000 0.500 0.000 N
0.500 0.000 0.000 N
```

**DFT total energy**: -30.1 eV for the cell shown
**Magnetization**: 3.28 μB per cell


Record 5
Below is a relaxed ScSi3N crystal, with properties calculated at the PBE level.

```
ScSi3N
1.0
5.099 0.000 0.000
0.000 5.099 0.000
0.000 0.000 5.099
Sc Si N
1 3 1
direct
0.000 0.000 0.000 Sc
0.000 0.000 0.500 Si
0.000 0.500 0.000 Si
0.500 0.000 0.000 Si
0.500 0.500 0.500 N
```

**Magnetization**: 2.79 μB per cell
**E above lowest polymorph**: 1743 meV per atom


Record 6
Below is a relaxed SmSc2SiN4 crystal, with properties calculated at the PBE level.

```
SmSc2SiN4
1.0
1.600 -5.546 0.000
1.600 5.546 0.000
0.000 0.000 10.962
Sm Sc Si N
2 4 2 8
direct
0.090 0.910 0.750 Sm
0.910 0.090 0.250 Sm
0.370 0.630 0.539 Sc
0.370 0.630 0.961 Sc
0.630 0.370 0.039 Sc
0.630 0.370 0.461 Sc
0.174 0.826 0.250 Si
0.826 0.174 0.750 Si
0.000 0.000 0.000 N
0.000 0.000 0.500 N
0.264 0.736 0.123 N
0.264 0.736 0.377 N
0.410 0.590 0.750 N
0.590 0.410 0.250 N
0.736 0.264 0.623 N
0.736 0.264 0.877 N
```

**DFT total energy**: -135.7 eV for the cell shown
**Magnetization**: 0.00 μB per cell


Record 7
Below is a relaxed ScSiTe2N crystal, with properties calculated at the PBE level.

```
ScSiTe2N
1.0
5.682 0.000 0.000
0.000 5.682 0.000
0.000 0.000 3.920
Sc Si Te N
1 1 2 1
direct
0.000 0.000 0.000 Sc
0.500 0.500 0.500 Si
0.000 0.500 0.000 Te
0.500 0.000 0.000 Te
0.000 0.000 0.500 N
```

**Magnetization**: 0.14 μB per cell
**E above lowest polymorph**: 501 meV per atom


Record 8
Below is a relaxed ScSiTe2N crystal, with properties calculated at the PBE level.

```
ScSiTe2N
1.0
5.610 0.000 0.000
0.000 5.610 0.000
0.000 0.000 3.332
Sc Si Te N
1 1 2 1
direct
0.000 0.000 0.000 Sc
0.500 0.500 0.500 Si
0.000 0.500 0.500 Te
0.500 0.000 0.500 Te
0.500 0.500 0.000 N
```

**Magnetization**: 0.00 μB per cell
**E above lowest polymorph**: 0 meV per atom


Record 9
Below is a relaxed Sc2VSiN crystal, with properties calculated at the PBE level.

```
Sc2VSiN
1.0
5.092 0.000 0.000
0.000 5.092 0.000
0.000 0.000 3.632
Sc V Si N
2 1 1 1
direct
0.000 0.500 0.000 Sc
0.500 0.000 0.000 Sc
0.000 0.000 0.000 V
0.500 0.500 0.500 Si
0.000 0.000 0.500 N
```

**DFT total energy**: -34.1 eV for the cell shown
**Magnetization**: 0.00 μB per cell


Record 10
Below is a relaxed Y2ScSiN crystal, with properties calculated at the PBE level.

```
Y2ScSiN
1.0
4.733 0.000 0.000
0.000 4.733 0.000
0.000 0.000 4.341
Y Sc Si N
2 1 1 1
direct
0.000 0.500 0.000 Y
0.500 0.000 0.000 Y
0.000 0.000 0.500 Sc
0.500 0.500 0.500 Si
0.000 0.000 0.000 N
```

**DFT total energy**: -37.9 eV for the cell shown
**Magnetization**: 0.00 μB per cell


Record 11
Below is a relaxed YSc2SiN crystal, with properties calculated at the PBE level.

```
YSc2SiN
1.0
4.373 0.000 0.000
0.000 4.373 0.000
0.000 0.000 4.698
Y Sc Si N
1 2 1 1
direct
0.000 0.000 0.000 Y
0.000 0.500 0.500 Sc
0.500 0.000 0.500 Sc
0.500 0.500 0.000 Si
0.000 0.000 0.500 N
```

**DFT total energy**: -38.1 eV for the cell shown
**Magnetization**: 0.00 μB per cell


Record 12
Below is a relaxed Zr2ScSiN crystal, with properties calculated at the PBE level.

```
Zr2ScSiN
1.0
4.929 0.000 0.000
0.000 4.929 0.000
0.000 0.000 4.675
Zr Sc Si N
2 1 1 1
direct
0.000 0.500 0.000 Zr
0.500 0.000 0.000 Zr
0.000 0.000 0.000 Sc
0.000 0.000 0.500 Si
0.500 0.500 0.500 N
```

**Magnetization**: 0.00 μB per cell
**E above lowest polymorph**: 1009 meV per atom


What is the magnetization in the sixth record? 0.00 μB per cell


What is the formula in the eleventh record? YSc2SiN